Record 1
A plane-wave DFT calculation with GGA-PBE was carried out for VHgTe2 after structural relaxation.

Geometry as CIF:
```
data_VHgTe2
_chemical_formula_sum 'V3 Hg3 Te6'
_cell_length_a 3.5755
_cell_length_b 3.5755
_cell_length_c 33.1673
_cell_angle_alpha 90.00
_cell_angle_beta 90.00
_cell_angle_gamma 120.00
_symmetry_space_group_name_H-M 'R -3 m'
_symmetry_Int_Tables_number 166
_symmetry_space_group_name_Hall '-R 3 2"'
loop_
_atom_site_label
_atom_site_type_symbol
_atom_site_fract_x
_atom_site_fract_y
_atom_site_fract_z
V1 V 0.0000 0.0000 0.0000
Hg1 Hg 0.0000 0.0000 0.5000
Te1 Te 0.0000 0.0000 0.3857
```

The value obtained for the formation energy from raw total energies is -0.22 eV per atom.

=====

Record 2
A plane-wave DFT calculation with GGA-PBE was carried out for LiIn2F after structural relaxation.

Geometry as CIF:
```
data_LiIn2F
_chemical_formula_sum 'Li4 In8 F4'
_cell_length_a 7.7694
_cell_length_b 7.7694
_cell_length_c 5.7463
_cell_angle_alpha 90.00
_cell_angle_beta 90.00
_cell_angle_gamma 90.00
_symmetry_space_group_name_H-M 'I -4 2 d'
_symmetry_Int_Tables_number 122
_symmetry_space_group_name_Hall 'I -4 2bw'
loop_
_atom_site_label
_atom_site_type_symbol
_atom_site_fract_x
_atom_site_fract_y
_atom_site_fract_z
Li1 Li 0.0000 0.0000 0.0000
In1 In 0.1911 0.2500 0.6250
F1 F 0.0000 0.0000 0.5000
```

The value obtained for the formation energy from raw total energies is -0.75 eV per atom.

=====

Record 3
A plane-wave DFT calculation with GGA-PBE was carried out for Cs2KAgAs after structural relaxation.

Geometry as CIF:
```
data_Cs2KAgAs
_chemical_formula_sum 'Cs2 K1 Ag1 As1'
_cell_length_a 7.3973
_cell_length_b 7.3973
_cell_length_c 4.9551
_cell_angle_alpha 90.00
_cell_angle_beta 90.00
_cell_angle_gamma 90.00
_symmetry_space_group_name_H-M 'P 4/m m m'
_symmetry_Int_Tables_number 123
_symmetry_space_group_name_Hall '-P 4 2'
loop_
_atom_site_label
_atom_site_type_symbol
_atom_site_fract_x
_atom_site_fract_y
_atom_site_fract_z
Cs1 Cs 0.0000 0.5000 0.0000
K1 K 0.0000 0.0000 0.5000
Ag1 Ag 0.5000 0.5000 0.5000
As1 As 0.5000 0.5000 0.0000
```

Its formation energy is -0.0424 eV/atom.

=====

Record 4
A plane-wave DFT calculation with GGA-PBE was carried out for KCdCu after structural relaxation.

Geometry as CIF:
```
data_KCdCu
_chemical_formula_sum 'K2 Cd2 Cu2'
_cell_length_a 3.6581
_cell_length_b 3.6581
_cell_length_c 12.3070
_cell_angle_alpha 90.00
_cell_angle_beta 90.00
_cell_angle_gamma 90.00
_symmetry_space_group_name_H-M 'I 4 m m'
_symmetry_Int_Tables_number 107
_symmetry_space_group_name_Hall 'I 4 -2'
loop_
_atom_site_label
_atom_site_type_symbol
_atom_site_fract_x
_atom_site_fract_y
_atom_site_fract_z
K1 K 0.0000 0.0000 0.0000
Cd1 Cd 0.0000 0.0000 0.2750
Cu1 Cu 0.0000 0.0000 0.7217
```

Its formation energy is 0.1711 eV/atom.